DFT (PBE) results for RbLi2TcI8 after structural relaxation.

Values from the calculation:
theoretical density = 4.2 Mg/m³
formation energy without anion corrections = -0.59 eV/atom

Cell: 6.4365 7.1372 10.3345 Å, 90.04 90.38 90.10°
Closest atoms and distances in Å follow each position.
Space group P-1 (No. 2)
Unique sites:
Rb: 0.0000 0.0000 0.0000  8 I 3.71-4.00
Li: 0.4995 0.4992 0.3134  4 I 2.86-2.99
Tc: 0.0000 0.0000 0.5000  6 I 2.74-2.77
I: 0.2355 0.3253 0.4996  1 Tc 2.77, 2 Li 2.86
I: 0.2393 0.8456 0.3090  1 Tc 2.74, 1 Li 2.99
I: 0.2422 0.8471 0.6921  1 Tc 2.74, 1 Li 2.98
I: 0.2517 0.4879 0.0004  2 I 3.20-3.25

DFT (PBE) results for RbLiTcI6 after structural relaxation.

Values from the calculation:
theoretical density = 4.0 Mg/m³
formation energy without anion corrections = -0.62 eV/atom

Cell: 7.4620 7.4620 16.4281 Å, 90.00 90.00 120.00°
Closest atoms and distances in Å follow each position.
Space group P-31c (No. 163)
Unique sites:
Rb: 0.0000 0.0000 0.0000  6 I 3.73
Li: 0.3333 0.6667 0.2500  6 I 2.95
Tc: 0.3333 0.6667 0.7500  6 I 2.75
I: 0.0203 0.3801 0.6528  1 Tc 2.75, 1 Li 2.95